Here is an optimized crystal structure of ReGe2Ir from Alexandria via LeMat-Bulk. Energies are from PBE.

Output
ΔE_f: 0.807 eV per atom
Excess energy over the best structure of this formula in the dataset: 0.746 eV/atom

a b c (Å): 5.6875 5.6875 10.7341
angles (deg): 90.00 90.00 90.00
Space group I-42d (No. 122)
Asymmetric unit:
Re 0.0000 0.0000 0.0000
Ge 0.2441 0.2500 0.6250
Ir 0.0000 0.0000 0.5000



Here is an optimized crystal structure of Li2PmY2Si2 from Alexandria via LeMat-Bulk. Energies are from PBE.

a b c (Å): 4.4608 4.4608 26.9856
angles (deg): 90.00 90.00 120.00
Space group R-3m (No. 166, hexagonal axes)
Asymmetric unit:
Li 0.0000 0.0000 0.0974
Pm 0.0000 0.0000 0.5000
Y 0.0000 0.0000 0.3727
Si 0.0000 0.0000 0.2391



Here is an optimized crystal structure of Ag8HgTe6 from Alexandria via LeMat-Bulk. Energies are from PBE.

a b c (Å): 7.5992 7.6077 9.1495
angles (deg): 89.98 65.55 60.04
Space group P-1 (No. 2)
Asymmetric unit:
Ag 0.0471 0.3251 0.0730
Ag 0.1474 0.9264 0.7776
Ag 0.2524 0.6283 0.0731
Ag 0.4442 0.8810 0.9270
Hg 0.0000 0.5000 0.5000
Te 0.1831 0.0717 0.2817
Te 0.2088 0.2549 0.7186
Te 0.4648 0.4628 0.2815



Here is an optimized crystal structure of ErTmTl from Alexandria via LeMat-Bulk. Energies are from PBE.

Output
ΔE_f: -0.026 eV per atom
Excess energy over the best structure of this formula in the dataset: 0.217 eV/atom

a b c (Å): 7.2473 7.2473 7.2473
angles (deg): 90.00 90.00 90.00
Space group F-43m (No. 216)
Asymmetric unit:
Er 0.0000 0.0000 0.0000
Tm 0.0000 0.0000 0.5000
Tl 0.2500 0.2500 0.7500



Here is an optimized crystal structure of MnV4Ga from Alexandria via LeMat-Bulk. Energies are from PBE.

Output
ΔE_f: 0.001 eV per atom
Excess energy over the best structure of this formula in the dataset: 0.114 eV/atom

a b c (Å): 4.9682 7.4204 4.3344
angles (deg): 90.00 96.94 90.00
Space group P2_1/c (No. 14)
Asymmetric unit:
Mn 0.0000 0.0000 0.0000
V 0.1951 0.1646 0.4840
V 0.2793 0.6688 0.9702
Ga 0.5000 0.0000 0.0000



Here is an optimized crystal structure of Cs3Na5Hg12 from Alexandria via LeMat-Bulk. Energies are from PBE.

Output
ΔE_f: -0.030 eV per atom

a b c (Å): 19.4103 19.4103 19.4103
angles (deg): 90.00 90.00 90.00
Space group Ia-3d (No. 230)
Asymmetric unit:
Cs 0.0000 0.2500 0.1250
Na 0.0000 0.0000 0.0000
Na 0.0000 0.2500 0.3750
Hg 0.0139 0.0642 0.6448



no.,final energy (eV per atom),mass density (g/cm³),N(E_F) (states/eV/cell)
1,-6.829,10.018,13.3
2,-5.035,4.209,9.9
3,-2.806,7.544,5.7
4,-3.826,9.433,14.7
5,-8.111,6.876,12.4
6,-0.669,5.306,86.0